No. 1
{"formula": "TaPBr2", "functional": "PBE-GGA", "state": "optimized geometry", "raw_formation_energy_mev_per_atom": 751, "cell": [[-1.060, -2.197, -1.957], [4.152, -3.178, 1.320], [-2.505, -1.847, 3.430]], "species": ["Ta", "P", "Br", "Br"], "frac_coords": [[0.000, 0.500, 0.500], [0.500, 0.000, 0.500], [0.500, 0.500, 0.000], [0.000, 0.000, 0.000]]}



No. 2
{"formula": "Y2Si4Pt3Rh", "functional": "PBE-GGA", "state": "optimized geometry", "raw_formation_energy_mev_per_atom": -1114, "cell": [[-3.733, -0.801, 1.586], [1.718, -2.569, 2.747], [1.099, 7.619, 6.437]], "species": ["Pt", "Pt", "Pt", "Si", "Si", "Si", "Si", "Y", "Y", "Rh"], "frac_coords": [[0.000, 0.500, 0.127], [0.500, 0.000, 0.873], [0.000, 0.000, 0.500], [0.000, 0.500, 0.366], [0.500, 0.000, 0.634], [0.500, 0.500, 0.000], [0.000, 0.000, 0.000], [0.500, 0.000, 0.248], [0.000, 0.500, 0.752], [0.500, 0.500, 0.500]]}



No. 3
{"formula": "Nd2SmMg", "functional": "PBE-GGA", "state": "optimized geometry", "ef_ev_per_atom": 0.0169, "cell": [[-0.210, 1.105, 3.650], [5.196, -2.335, 1.006], [2.522, 5.021, -1.374]], "species": ["Nd", "Nd", "Mg", "Sm"], "frac_coords": [[0.000, 0.500, 0.000], [0.000, 0.000, 0.500], [0.500, 0.000, 0.000], [0.500, 0.500, 0.500]]}



No. 4
{"formula": "Ho2GeAu", "functional": "PBE-GGA", "state": "optimized geometry", "ef_ev_per_atom": -0.8673, "cell": [[-0.357, 2.715, 2.963], [-4.188, 0.394, -0.866], [-0.927, -5.352, 2.045]], "species": ["Ho", "Ho", "Au", "Ge"], "frac_coords": [[0.085, 0.000, 0.170], [0.807, 0.500, 0.613], [0.361, 0.000, 0.722], [0.532, 0.500, 0.065]]}



No. 5
{"formula": "Ac6Si2SbI3", "functional": "PBE-GGA", "state": "optimized geometry", "raw_formation_energy_mev_per_atom": -996, "cell": [[-3.255, -3.140, -1.127], [6.939, -6.379, -2.271], [-0.401, 0.024, 10.730]], "species": ["I", "I", "I", "Si", "Si", "Ac", "Ac", "Ac", "Ac", "Ac", "Ac", "Sb"], "frac_coords": [[0.163, 0.834, 0.326], [0.837, 0.166, 0.674], [0.500, 0.500, 0.000], [0.832, 0.663, 0.663], [0.168, 0.337, 0.337], [0.018, 0.245, 0.035], [0.665, 0.126, 0.330], [0.678, 0.557, 0.356], [0.335, 0.874, 0.670], [0.322, 0.443, 0.644], [0.982, 0.755, 0.965], [0.500, 0.000, 0.000]]}



No. 6
{"formula": "HoGa2Au7", "functional": "PBE-GGA", "state": "optimized geometry", "ef_ev_per_atom": -0.2326, "cell": [[-1.642, -3.881, 1.963], [5.226, -4.028, -3.592], [1.480, 2.816, 6.805]], "species": ["Au", "Au", "Au", "Au", "Au", "Au", "Au", "Ga", "Ga", "Ho"], "frac_coords": [[0.000, 0.222, 0.778], [0.500, 0.701, 0.929], [0.000, 0.778, 0.222], [0.500, 0.929, 0.701], [0.500, 0.071, 0.299], [0.500, 0.500, 0.500], [0.500, 0.299, 0.071], [0.500, 0.700, 0.300], [0.500, 0.300, 0.700], [0.000, 0.000, 0.000]]}



No. 7
{"formula": "HoU2S6", "functional": "PBE-GGA", "state": "optimized geometry", "raw_formation_energy_mev_per_atom": -1444, "cell": [[-3.663, -1.553, 1.141], [-0.841, -2.833, -6.557], [3.228, -3.810, 5.177]], "species": ["S", "S", "S", "S", "S", "S", "Ho", "U", "U"], "frac_coords": [[0.242, 0.302, 0.919], [0.242, 0.617, 0.698], [0.242, 0.081, 0.383], [0.758, 0.698, 0.081], [0.758, 0.383, 0.302], [0.758, 0.919, 0.617], [0.500, 0.000, 0.000], [0.729, 0.333, 0.667], [0.271, 0.667, 0.333]]}



No. 8
{"formula": "KCuW2", "functional": "PBE-GGA", "state": "optimized geometry", "ef_ev_per_atom": 0.7496, "cell": [[-0.584, 0.930, -2.543], [0.124, -2.767, -0.053], [-10.000, -0.487, 2.117]], "species": ["W", "W", "K", "Cu"], "frac_coords": [[0.500, 0.500, 0.258], [0.000, 0.000, 0.044], [0.500, 0.500, 0.738], [0.000, 0.000, 0.460]]}



No. 9
{"formula": "Ta2AgW", "functional": "PBE-GGA", "state": "optimized geometry", "ef_ev_per_atom": 0.1053, "cell": [[2.795, 0.006, 0.000], [-0.879, 2.653, 0.000], [0.000, 0.000, 9.421]], "species": ["Ag", "W", "Ta", "Ta"], "frac_coords": [[0.500, 0.500, 0.750], [0.500, 0.500, 0.250], [0.000, 0.000, 0.008], [0.000, 0.000, 0.492]]}



No. 10
{"formula": "Sc2HgBi2", "functional": "PBE-GGA", "state": "optimized geometry", "ef_ev_per_atom": -0.3125, "cell": [[8.442, 0.000, 0.000], [0.000, 8.442, 0.000], [0.000, 0.000, 3.752]], "species": ["Sc", "Sc", "Sc", "Sc", "Bi", "Bi", "Bi", "Bi", "Hg", "Hg"], "frac_coords": [[0.649, 0.851, 0.500], [0.149, 0.649, 0.500], [0.851, 0.351, 0.500], [0.351, 0.149, 0.500], [0.150, 0.350, 0.000], [0.850, 0.650, 0.000], [0.650, 0.150, 0.000], [0.350, 0.850, 0.000], [0.500, 0.500, 0.000], [0.000, 0.000, 0.000]]}



No. 11
{"formula": "ZrPb", "functional": "PBE-GGA", "state": "optimized geometry", "ef_ev_per_atom": 0.3012, "cell": [[-1.392, 2.826, 3.975], [3.600, -3.532, 0.537], [4.086, 3.954, -1.380]], "species": ["Zr", "Zr", "Pb", "Pb"], "frac_coords": [[0.333, 0.667, 0.750], [0.667, 0.333, 0.250], [0.667, 0.333, 0.750], [0.333, 0.667, 0.250]]}



No. 12
{"formula": "K2NiRh", "functional": "PBE-GGA", "state": "optimized geometry", "ef_ev_per_atom": 0.3853, "cell": [[-1.371, 3.835, 0.533], [-0.046, 1.654, 3.759], [8.141, 5.274, 0.221]], "species": ["K", "K", "Ni", "Rh"], "frac_coords": [[0.783, 0.783, 0.630], [0.967, 0.967, 0.120], [0.542, 0.542, 0.375], [0.208, 0.208, 0.375]]}



No. 13
{"formula": "CrBiAu", "functional": "PBE-GGA", "state": "optimized geometry", "ef_ev_per_atom": 0.3129, "cell": [[4.774, 0.000, 0.000], [0.000, 3.336, 0.000], [0.000, 0.000, 4.379]], "species": ["Au", "Cr", "Bi"], "frac_coords": [[0.500, 0.500, 0.000], [0.500, 0.000, 0.500], [0.000, 0.500, 0.500]]}



Number 1: E_tot -17.6 eV/cell. Number 2: E_tot -71.2 eV/cell. Number 3: E_tot -15.8 eV/cell. Number 4: E_tot -20.5 eV/cell. Number 5: E_tot -56.2 eV/cell. Number 6: E_tot -35.9 eV/cell. Number 7: E_tot -64.9 eV/cell. Number 8: E_tot -28.1 eV/cell. Number 9: E_tot -39.1 eV/cell. Number 10: E_tot -44.6 eV/cell. Number 11: E_tot -23.3 eV/cell. Number 12: E_tot -13.8 eV/cell. Number 13: E_tot -15.8 eV/cell.